Entry from Alexandria via LeMat-Bulk: Ac12InPb7 after structural relaxation (PBE).

```
data_Ac12InPb7
_chemical_formula_sum 'Ac36 In3 Pb21'
_cell_length_a 16.0296
_cell_length_b 16.0296
_cell_length_c 10.6353
_cell_angle_alpha 90.00
_cell_angle_beta 90.00
_cell_angle_gamma 120.00
_space_group_name_H-M_alt 'R -3'
_space_group_IT_number 148
_space_group_name_Hall '-R 3'
loop_
_atom_site_label
_atom_site_type_symbol
_atom_site_fract_x
_atom_site_fract_y
_atom_site_fract_z
Ac1 Ac 0.0405 0.8653 0.2040
Ac2 Ac 0.0408 0.7879 0.5785
In1 In 0.0000 0.0000 0.0000
Pb1 Pb 0.0000 0.0000 0.5000
Pb2 Pb 0.0651 0.5921 0.5767
```

- total DFT energy (no corrections) (eV/cell) = -253.22
- N(E_F) (states/eV per atom) = 1.21
- total magnetic moment (μB/f.u.) = 0.0
- formation enthalpy at 0 K (meV/atom) = -320
- mass density (g/cm3) = 9.03


Entry from Alexandria via LeMat-Bulk: Ac2InPb after structural relaxation (PBE).

```
data_Ac2InPb
_chemical_formula_sum 'Ac4 In2 Pb2'
_cell_length_a 4.675
_cell_length_b 5.019
_cell_length_c 12.573
_cell_angle_alpha 90.00
_cell_angle_beta 90.00
_cell_angle_gamma 90.00
_space_group_name_H-M_alt 'A m m 2'
_space_group_IT_number 38
loop_
_space_group_symop_operation_xyz
'x,y,z'
'-x,-y,z'
'-x,y,z'
'x,-y,z'
'x,y+1/2,z+1/2'
'-x,-y+1/2,z+1/2'
'-x,y+1/2,z+1/2'
'x,-y+1/2,z+1/2'
loop_
_atom_site_label
_atom_site_type_symbol
_atom_site_fract_x
_atom_site_fract_y
_atom_site_fract_z
Ac1 Ac 0.000 0.000 0.000
Ac2 Ac 0.500 0.000 0.278
In1 In 0.500 0.000 0.557
Pb1 Pb 0.000 0.000 0.719
```

- total DFT energy (no corrections) (eV/cell) = -33.39
- N(E_F) (states/eV per atom) = 0.87
- total magnetic moment (μB/f.u.) = 0.4
- formation enthalpy at 0 K (meV/atom) = -507
- mass density (g/cm3) = 8.74


Entry from Alexandria via LeMat-Bulk: AcIn3Pb3 after structural relaxation (PBE).

```
data_AcIn3Pb3
_chemical_formula_sum 'Ac2 In6 Pb6'
_cell_length_a 8.220
_cell_length_b 8.220
_cell_length_c 8.220
_cell_angle_alpha 90.00
_cell_angle_beta 90.00
_cell_angle_gamma 90.00
_space_group_name_H-M_alt 'P m -3 n'
_space_group_IT_number 223
_space_group_name_Hall '-P 4n 2 3'
loop_
_atom_site_label
_atom_site_type_symbol
_atom_site_fract_x
_atom_site_fract_y
_atom_site_fract_z
Ac1 Ac 0.000 0.000 0.000
In1 In 0.000 0.250 0.500
Pb1 Pb 0.000 0.500 0.250
```

- total DFT energy (no corrections) (eV/cell) = -42.58
- N(E_F) (states/eV per atom) = 0.81
- total magnetic moment (μB/f.u.) = 0.0
- formation enthalpy at 0 K (meV/atom) = 309
- mass density (g/cm3) = 7.13


Entry from Alexandria via LeMat-Bulk: Ac3In2Pb after structural relaxation (PBE).

```
data_Ac3In2Pb
_chemical_formula_sum 'Ac12 In8 Pb4'
_cell_length_a 13.708
_cell_length_b 5.017
_cell_length_c 12.929
_cell_angle_alpha 90.00
_cell_angle_beta 90.00
_cell_angle_gamma 90.00
_space_group_name_H-M_alt 'P n m a'
_space_group_IT_number 62
loop_
_space_group_symop_operation_xyz
'x,y,z'
'-x,-y,-z'
'-x+1/2,-y,z+1/2'
'x+1/2,y,-z+1/2'
'x+1/2,-y+1/2,-z+1/2'
'-x+1/2,y+1/2,z+1/2'
'-x,y+1/2,-z'
'x,-y+1/2,z'
loop_
_atom_site_label
_atom_site_type_symbol
_atom_site_fract_x
_atom_site_fract_y
_atom_site_fract_z
Ac1 Ac 0.049 0.250 0.116
Ac2 Ac 0.128 0.750 0.568
Ac3 Ac 0.209 0.250 0.813
In1 In 0.010 0.750 0.304
In2 In 0.190 0.750 0.026
Pb1 Pb 0.131 0.250 0.373
```

- total DFT energy (no corrections) (eV/cell) = -95.24
- N(E_F) (states/eV per atom) = 0.99
- total magnetic moment (μB/f.u.) = 0.0
- formation enthalpy at 0 K (meV/atom) = -383
- mass density (g/cm3) = 8.35


Entry from Alexandria via LeMat-Bulk: Ac6In5Pb after structural relaxation (PBE).

```
data_Ac6In5Pb
_chemical_formula_sum 'Ac12 In10 Pb2'
_cell_length_a 5.590
_cell_length_b 8.927
_cell_length_c 16.706
_cell_angle_alpha 90.00
_cell_angle_beta 90.00
_cell_angle_gamma 90.00
_space_group_name_H-M_alt 'I m m m'
_space_group_IT_number 71
_space_group_name_Hall '-I 2 2'
loop_
_atom_site_label
_atom_site_type_symbol
_atom_site_fract_x
_atom_site_fract_y
_atom_site_fract_z
Ac1 Ac 0.000 0.248 0.000
Ac2 Ac 0.000 0.251 0.334
In1 In 0.000 0.000 0.168
In2 In 0.000 0.500 0.170
In3 In 0.000 0.500 0.500
Pb1 Pb 0.000 0.000 0.500
```

- total DFT energy (no corrections) (eV/cell) = -94.40
- N(E_F) (states/eV per atom) = 0.67
- total magnetic moment (μB/f.u.) = 0.0
- formation enthalpy at 0 K (meV/atom) = -429
- mass density (g/cm3) = 8.54


Entry from Alexandria via LeMat-Bulk: Ac3In3Pb after structural relaxation (PBE).

```
data_Ac3In3Pb
_chemical_formula_sum 'Ac12 In12 Pb4'
_cell_length_a 12.588
_cell_length_b 4.997
_cell_length_c 16.212
_cell_angle_alpha 90.00
_cell_angle_beta 107.67
_cell_angle_gamma 90.00
_space_group_name_H-M_alt 'C 1 2/m 1'
_space_group_IT_number 12
loop_
_space_group_symop_operation_xyz
'x,y,z'
'-x,-y,-z'
'-x,y,-z'
'x,-y,z'
'x+1/2,y+1/2,z'
'-x+1/2,-y+1/2,-z'
'-x+1/2,y+1/2,-z'
'x+1/2,-y+1/2,z'
loop_
_atom_site_label
_atom_site_type_symbol
_atom_site_fract_x
_atom_site_fract_y
_atom_site_fract_z
Ac1 Ac 0.009 0.000 0.377
Ac2 Ac 0.114 0.000 0.928
Ac3 Ac 0.226 0.000 0.224
In1 In 0.002 0.500 0.780
In2 In 0.103 0.500 0.076
In3 In 0.136 0.500 0.544
Pb1 Pb 0.218 0.500 0.378
```

- total DFT energy (no corrections) (eV/cell) = -109.23
- N(E_F) (states/eV per atom) = 0.79
- total magnetic moment (μB/f.u.) = 0.0
- formation enthalpy at 0 K (meV/atom) = -437
- mass density (g/cm3) = 8.43


Entry from Alexandria via LeMat-Bulk: Ac2InPb after structural relaxation (PBE).

```
data_Ac2InPb
_chemical_formula_sum 'Ac2 In1 Pb1'
_cell_length_a 5.507
_cell_length_b 5.507
_cell_length_c 4.615
_cell_angle_alpha 90.00
_cell_angle_beta 90.00
_cell_angle_gamma 90.00
_space_group_name_H-M_alt 'P 4/m m m'
_space_group_IT_number 123
_space_group_name_Hall '-P 4 2'
loop_
_atom_site_label
_atom_site_type_symbol
_atom_site_fract_x
_atom_site_fract_y
_atom_site_fract_z
Ac1 Ac 0.000 0.500 0.000
In1 In 0.000 0.000 0.500
Pb1 Pb 0.500 0.500 0.500
```

- total DFT energy (no corrections) (eV/cell) = -16.49
- N(E_F) (states/eV per atom) = 0.73
- total magnetic moment (μB/f.u.) = 0.0
- formation enthalpy at 0 K (meV/atom) = -457
- mass density (g/cm3) = 9.21


Entry from Alexandria via LeMat-Bulk: Ac6In3Pb after structural relaxation (PBE).

```
data_Ac6In3Pb
_chemical_formula_sum 'Ac24 In12 Pb4'
_cell_length_a 11.987
_cell_length_b 16.292
_cell_length_c 8.028
_cell_angle_alpha 90.00
_cell_angle_beta 90.00
_cell_angle_gamma 90.00
_space_group_name_H-M_alt 'C m c 21'
_space_group_IT_number 36
loop_
_space_group_symop_operation_xyz
'x,y,z'
'-x,-y,z+1/2'
'-x,y,z'
'x,-y,z+1/2'
'x+1/2,y+1/2,z'
'-x+1/2,-y+1/2,z+1/2'
'-x+1/2,y+1/2,z'
'x+1/2,-y+1/2,z+1/2'
loop_
_atom_site_label
_atom_site_type_symbol
_atom_site_fract_x
_atom_site_fract_y
_atom_site_fract_z
Ac1 Ac 0.000 0.038 0.000
Ac2 Ac 0.000 0.298 0.028
Ac3 Ac 0.184 0.309 0.531
Ac4 Ac 0.228 0.456 0.164
In1 In 0.000 0.476 0.419
In2 In 0.132 0.135 0.319
Pb1 Pb 0.000 0.164 0.674
```

- total DFT energy (no corrections) (eV/cell) = -156.74
- N(E_F) (states/eV per atom) = 1.11
- total magnetic moment (μB/f.u.) = 0.0
- formation enthalpy at 0 K (meV/atom) = -261
- mass density (g/cm3) = 8.11


Look up the mass density of the fifth one. 8.54 g/cm3


total magnetic moment of number 7 (Ac2InPb)? 0.0 μB/f.u.


Look up the total magnetic moment of the second one. 0.4 μB/f.u.


The highest total DFT energy (no corrections) belongs to which entry? number 7